1.
Below is an optimized crystal structure of ZrTaVNi, with properties calculated at the PBE level.

Cell and atoms, written as POSCAR:
```
ZrTaVNi
1.0
4.497 0.000 0.000
2.248 3.894 0.000
2.248 1.298 3.671
V Zr Ta Ni
1 1 1 1
Direct
0.000 0.000 0.000
0.750 0.750 0.750
0.250 0.250 0.250
0.500 0.500 0.500
```

Energy of formation   -0.013 eV/atom
Spin magnetization   0.0169 μB per atom

2.
Below is an optimized crystal structure of LaTcOs2, with properties calculated at the PBE level.

Cell and atoms, written as POSCAR:
```
LaTcOs2
1.0
2.837 0.000 0.000
0.000 3.731 0.000
0.000 0.000 7.046
Tc Os La
1 2 1
Direct
0.000 0.000 0.434
0.000 0.000 0.067
0.500 0.500 0.245
0.500 0.500 0.753
```

Energy of formation   0.381 eV/atom
Spin magnetization   0.0000 μB per atom
Polymorph energy (0 for the lowest one)   88.1 meV/atom

3.
Below is an optimized crystal structure of Tm2Ga3Pd5, with properties calculated at the PBE level.

Cell and atoms, written as POSCAR:
```
Tm2Ga3Pd5
1.0
4.104 0.000 -0.699
0.000 6.743 0.000
0.035 0.000 12.601
Pd Tm Ga
10 4 6
Direct
0.274 0.026 0.548
0.598 0.846 0.195
0.402 0.346 0.805
0.883 0.676 0.765
0.304 0.590 0.607
0.696 0.090 0.393
0.058 0.538 0.116
0.942 0.038 0.884
0.726 0.526 0.452
0.117 0.176 0.235
0.824 0.278 0.647
0.176 0.778 0.353
0.474 0.721 0.947
0.526 0.221 0.053
0.785 0.825 0.569
0.042 0.913 0.084
0.958 0.413 0.916
0.215 0.325 0.431
0.374 0.951 0.749
0.626 0.451 0.251
```

Energy of formation   -0.831 eV/atom
Spin magnetization   0.0000 μB per atom
Polymorph energy (0 for the lowest one)   0.0 meV/atom

4.
Below is an optimized crystal structure of K4ScBr7, with properties calculated at the PBE level.

Cell and atoms, written as POSCAR:
```
K4ScBr7
1.0
-3.098 2.140 -3.587
-10.524 -2.669 3.729
-1.792 8.278 2.716
Br K Sc
7 4 1
Direct
0.760 0.842 0.638
0.633 0.495 0.240
0.043 0.794 0.120
0.500 0.000 0.000
0.957 0.206 0.880
0.367 0.505 0.760
0.240 0.158 0.362
0.399 0.723 0.478
0.729 0.639 0.903
0.601 0.277 0.522
0.271 0.361 0.097
0.000 0.000 0.000
```

Formation energy without anion corrections   -1527 meV/atom
Spin magnetization   0.0074 μB per atom

5.
Below is an optimized crystal structure of Li4InSb, with properties calculated at the PBE level.

Cell and atoms, written as POSCAR:
```
Li4InSb
1.0
-2.707 7.368 -0.248
-3.694 -6.321 2.842
5.974 0.709 5.049
Li Sb In
8 2 2
Direct
0.726 0.488 0.238
0.209 0.012 0.197
0.238 0.976 0.738
0.762 0.065 0.303
0.815 0.012 0.803
0.762 0.459 0.697
0.238 0.501 0.262
0.251 0.488 0.762
0.039 0.539 0.500
0.289 0.289 0.000
0.711 0.711 0.000
0.461 0.961 0.500
```

Formation energy without anion corrections   -148 meV/atom
Spin magnetization   0.0000 μB per atom
Polymorph energy (0 for the lowest one)   251.4 meV/atom

6.
Below is an optimized crystal structure of V2ReH, with properties calculated at the PBE level.

Cell and atoms, written as POSCAR:
```
V2ReH
1.0
0.000 2.925 2.925
2.925 0.000 2.925
2.925 2.925 0.000
V Re H
2 1 1
Direct
0.250 0.250 0.250
0.750 0.750 0.750
0.500 0.500 0.500
0.000 0.000 0.000
```

Spin magnetization   0.0002 μB per atom
Polymorph energy (0 for the lowest one)   567.0 meV/atom

7.
Below is an optimized crystal structure of Sr3AgPd3, with properties calculated at the PBE level.

Cell and atoms, written as POSCAR:
```
Sr3AgPd3
1.0
4.566 0.000 0.000
-2.283 5.471 0.000
0.000 0.000 14.592
Pd Ag Sr
6 2 6
Direct
0.083 0.165 0.090
0.917 0.835 0.590
0.216 0.432 0.250
0.083 0.165 0.410
0.784 0.568 0.750
0.917 0.835 0.910
0.500 0.000 0.500
0.500 0.000 0.000
0.207 0.414 0.898
0.207 0.414 0.602
0.793 0.586 0.102
0.512 0.023 0.250
0.793 0.586 0.398
0.488 0.977 0.750
```

Energy of formation   -0.550 eV/atom
Spin magnetization   0.0000 μB per atom

8.
Below is an optimized crystal structure of ErTh2Ni2, with properties calculated at the PBE level.

Cell and atoms, written as POSCAR:
```
ErTh2Ni2
1.0
-2.333 2.793 -0.933
-5.045 -5.178 -2.881
-3.428 -0.536 6.966
Er Th Ni
2 4 4
Direct
0.000 0.000 0.000
0.000 0.500 0.500
0.500 0.332 0.168
0.500 0.832 0.332
0.500 0.668 0.832
0.500 0.168 0.668
0.000 0.875 0.625
0.000 0.125 0.375
0.000 0.375 0.875
0.000 0.625 0.125
```

Energy of formation   -0.354 eV/atom
Spin magnetization   0.0000 μB per atom
Polymorph energy (0 for the lowest one)   0.0 meV/atom

Electronic total energy readings, ordered: -35.4 -36.2 -104.6 -40.8 -30.8 -31.8 -54.7 -65.5 eV for the cell shown